Compound: BeCdPb2
Source: Alexandria
Functional: PBEsol
Structure: relaxed

Cell and atoms, written as extended XYZ:
```
4
Lattice="3.3683 0.0337 0.0000 -0.7845 3.2758 0.0000 0.0000 0.0000 8.3449" Properties=species:S:1:pos:R:3 pbc="T T T"
Be 1.2919 1.6547 4.1724
Pb 0.0000 0.0000 5.8940
Pb 0.0000 0.0000 2.4509
Cd 1.2919 1.6547 0.0000
```

Computed properties:
Symmetry: Cmmm (65)
Total DFT energy (no corrections): -2.91 eV/atom
V: 23.07 A^3/atom
Total magnetization: 0.000 μB/cell
Crystal system: orthorhombic